(1)
Hf2Ti2Ag3 | Alexandria | GGA-PBE | optimized geometry; space group = Cmmm (65)
1.0
-2.903 0.268 -0.609
-0.517 -2.611 1.316
-0.687 7.019 13.655
Hf Ti Ag
2 2 3
Direct
0.298 0.500 0.597 Hf
0.702 0.500 0.403 Hf
0.136 0.000 0.272 Ti
0.864 0.000 0.728 Ti
0.432 0.500 0.864 Ag
0.568 0.500 0.136 Ag
0.000 0.000 0.000 Ag

***

(2)
HfTiAg | Alexandria | GGA-PBE | optimized geometry; relative energy among the computed polymorphs = 0.131 eV/atom; space group = P3m1 (156)
1.0
3.069 0.000 0.000
-1.535 2.658 0.000
0.000 0.000 7.129
Hf Ag Ti
1 1 1
Direct
0.333 0.667 0.656 Hf
0.000 0.000 0.007 Ag
0.667 0.333 0.336 Ti

***

(3)
Hf2TiAg2 | Alexandria | GGA-PBE | optimized geometry; relative energy among the computed polymorphs = 0.000 eV/atom; space group = Cmmm (65)
1.0
-0.773 2.252 -1.897
-2.795 -1.199 -0.286
-4.778 5.286 8.221
Hf Ti Ag
2 1 2
Direct
0.500 0.406 0.189 Hf
0.500 0.594 0.811 Hf
0.000 0.000 0.000 Ti
0.000 0.194 0.612 Ag
0.000 0.806 0.388 Ag

***

(4)
Hf2TiAg | Alexandria | GGA-PBE | optimized geometry; relative energy among the computed polymorphs = 0.106 eV/atom; space group = R3m (160)
1.0
-2.856 1.155 -0.230
-1.802 -0.799 -2.379
-4.997 -7.377 4.255
Hf Ti Ag
2 1 1
Direct
0.086 0.086 0.742 Hf
0.247 0.247 0.258 Hf
0.500 0.500 0.501 Ti
0.667 0.667 0.999 Ag

***

(5)
HfTi2Ag | Alexandria | GGA-PBE | optimized geometry; relative energy among the computed polymorphs = 0.000 eV/atom; space group = P4/mmm (123)
1.0
3.044 0.000 0.000
0.000 3.044 0.000
0.000 0.000 8.026
Hf Ag Ti
1 1 2
Direct
0.500 0.500 0.500 Hf
0.500 0.500 0.000 Ag
0.000 0.000 0.756 Ti
0.000 0.000 0.244 Ti

***

(6)
Hf2TiAg | Alexandria | GGA-PBE | optimized geometry; relative energy among the computed polymorphs = 0.052 eV/atom; space group = P4/nmm (129)
1.0
3.085 0.000 -0.004
0.000 3.085 0.000
0.022 0.000 16.755
Hf Ti Ag
4 2 2
Direct
0.250 0.250 0.686 Hf
0.750 0.750 0.314 Hf
0.250 0.250 0.931 Hf
0.750 0.750 0.069 Hf
0.251 0.250 0.194 Ti
0.749 0.750 0.806 Ti
0.250 0.250 0.441 Ag
0.750 0.750 0.559 Ag

***

(7)
HfTiAg2 | Alexandria | GGA-PBE | optimized geometry; relative energy among the computed polymorphs = 0.000 eV/atom; space group = P4mm (99)
1.0
3.369 0.000 0.000
0.000 3.369 0.000
0.000 0.000 6.510
Hf Ti Ag
1 1 2
Direct
0.000 0.000 0.499 Hf
0.500 0.500 0.765 Ti
0.000 0.000 0.996 Ag
0.500 0.500 0.241 Ag

***

(8)
Hf2TiAg2 | Alexandria | GGA-PBE | optimized geometry; relative energy among the computed polymorphs = 0.196 eV/atom; space group = P4/mbm (127)
1.0
-6.913 1.337 -3.367
-3.386 0.194 7.029
0.545 3.251 0.173
Hf Ag Ti
4 4 2
Direct
0.176 0.676 0.500 Hf
0.676 0.824 0.500 Hf
0.824 0.324 0.500 Hf
0.324 0.176 0.500 Hf
0.375 0.875 0.000 Ag
0.875 0.625 0.000 Ag
0.625 0.125 0.000 Ag
0.125 0.375 0.000 Ag
0.000 0.000 0.000 Ti
0.500 0.500 0.000 Ti

***

| no. | energy of formation from the pure elements (eV per atom) |
| --- | --- |
| 1 | 0.04 |
| 2 | 0.08 |
| 3 | 0.02 |
| 4 | 0.07 |
| 5 | 0.01 |
| 6 | 0.02 |
| 7 | -0.06 |
| 8 | 0.21 |